HoErAgAu: optimized geometry, PBE-GGA.

The structure belongs to space group P4mm (No. 99); the cell edges are 3.5807, 3.5807 and 7.2303 Å and the angles 90.00°, 90.00° and 90.00°. Symmetry generates all atoms from Ho at (0.0000, 0.0000, 0.0000), Er at (0.0000, 0.0000, 0.5104), Ag at (0.5000, 0.5000, 0.2576) and Au at (0.5000, 0.5000, 0.7526).

The calculation puts the energy above the most stable polymorph in this dataset at 0 meV/atom. Its energy of formation is -0.6079 eV per atom. As for the raw total energy: -4.4252 eV/atom.

HoErAgAu: optimized geometry, PBE-GGA.

The structure belongs to space group F-43m (No. 216); the cell edges are 7.1812, 7.1812 and 7.1812 Å and the angles 90.00°, 90.00° and 90.00°. Symmetry generates all atoms from Ho at (0.0000, 0.0000, 0.0000), Er at (0.0000, 0.0000, 0.5000), Ag at (0.2500, 0.2500, 0.7500) and Au at (0.2500, 0.2500, 0.2500).

The calculation puts the energy above the most stable polymorph in this dataset at 5 meV/atom. Its energy of formation is -0.6030 eV per atom. As for the raw total energy: -4.4203 eV/atom.

Li2ErAgAu2: optimized geometry, PBE-GGA.

The structure belongs to space group P-3m1 (No. 164); the cell edges are 4.5247, 4.5247 and 6.2855 Å and the angles 90.00°, 90.00° and 120.00°. Symmetry generates all atoms from Li at (0.3333, 0.6667, 0.1569), Er at (0.0000, 0.0000, 0.5000), Ag at (0.0000, 0.0000, 0.0000) and Au at (0.3333, 0.6667, 0.7328).

Its energy of formation is -0.5422 eV per atom. As for the raw total energy: -3.5083 eV/atom.

NaErAgAu: optimized geometry, PBE-GGA.

The structure belongs to space group F-43m (No. 216); the cell edges are 7.0506, 7.0506 and 7.0506 Å and the angles 90.00°, 90.00° and 90.00°. Symmetry generates all atoms from Na at (0.0000, 0.0000, 0.0000), Er at (0.0000, 0.0000, 0.5000), Ag at (0.2500, 0.2500, 0.2500) and Au at (0.2500, 0.2500, 0.7500).

Its energy of formation is -0.3503 eV per atom. As for the raw total energy: -3.3529 eV/atom.

ErNiAgAu: optimized geometry, PBE-GGA.

The structure belongs to space group F-43m (No. 216); the cell edges are 6.6593, 6.6593 and 6.6593 Å and the angles 90.00°, 90.00° and 90.00°. Symmetry generates all atoms from Er at (0.0000, 0.0000, 0.0000), Ni at (0.2500, 0.2500, 0.2500), Ag at (0.0000, 0.0000, 0.5000) and Au at (0.2500, 0.2500, 0.7500).

Its energy of formation is -0.3473 eV per atom. As for the raw total energy: -4.4655 eV/atom.

Er3Ag3AuO8: optimized geometry, PBE-GGA.

The structure belongs to space group C2/m (No. 12); the cell edges are 11.8351, 6.8776 and 7.7025 Å and the angles 90.00°, 124.63° and 90.00°. Symmetry generates all atoms from Er at (0.0000, 0.0000, 0.0000), Er at (0.2500, 0.2500, 0.0000), Ag at (0.0000, 0.0000, 0.5000), Ag at (0.2500, 0.2500, 0.5000), Au at (0.0000, 0.5000, 0.0000), O at (0.0994, 0.5000, 0.8500), O at (0.1037, 0.0000, 0.8323) and O at (0.1468, 0.2489, 0.1746).

As for the raw total energy: -6.0777 eV/atom.

Question: Which value of raw total energy does entry 2 give?
Answer: -4.4203 eV/atom

Question: Which of these has the highest raw total energy?
Answer: NaErAgAu

Question: Among the records above, which one has the highest raw total energy?
Answer: NaErAgAu